Model 1:
DFT (GGA-PBE) results for La2TlPd3 after structural relaxation.

Geometry as POSCAR:
```
La2TlPd3
1.0
4.711 0.000 0.000
-2.355 4.080 0.000
0.000 0.000 15.167
La Tl Pd
4 2 6
direct
0.000 0.000 0.117
0.000 0.000 0.383
0.000 0.000 0.617
0.000 0.000 0.883
0.333 0.667 0.250
0.667 0.333 0.750
0.333 0.667 0.011
0.333 0.667 0.489
0.333 0.667 0.750
0.667 0.333 0.250
0.667 0.333 0.511
0.667 0.333 0.989
```

Calculated values
Calculated density, g cm⁻³: 9.13
D(E_F), states/eV per atom: 0.53

Model 2:
DFT (GGA-PBE) results for La2TlPd3 after structural relaxation.

Geometry as POSCAR:
```
La2TlPd3
1.0
0.000 4.957 7.803
3.759 0.000 7.803
3.759 4.957 0.000
La Tl Pd
4 2 6
direct
0.244 0.756 0.756
0.250 0.250 0.250
0.750 0.750 0.750
0.756 0.244 0.244
0.328 0.328 0.672
0.672 0.672 0.328
0.153 0.153 0.847
0.169 0.656 0.344
0.344 0.831 0.169
0.656 0.169 0.831
0.831 0.344 0.656
0.847 0.847 0.153
```

Calculated values
Calculated density, g cm⁻³: 9.15
D(E_F), states/eV per atom: 0.70

model 1 comes first in stability; the runner-up is 15 meV/atom higher.